1.
First-principles (PBE-GGA) data for a relaxed Ac2La2Ni2Rh crystal, as listed in Alexandria via LeMat-Bulk.

Unit cell a=4.006 b=7.813 c=7.399 alpha=68.20 beta=74.29 gamma=75.14
Fractional positions:
Ac (0.540, 0.228, 0.692)
Ac (0.460, 0.772, 0.308)
La (0.223, 0.706, 0.849)
La (0.777, 0.294, 0.151)
Ni (0.103, 0.458, 0.337)
Ni (0.897, 0.542, 0.663)
Rh (0.000, 0.000, 0.000)

Computed properties:
* ΔH_f (0 K): -0.332 eV per atom
* total DFT energy (no corrections): -5.62 eV per atom
* theoretical density: 7.76 g/cm3
* magnetic moment: 0.00 Bohr magnetons per cell
* space group: C2/m, No. 12
* N(E_F): 5.14 states/eV per cell

2.
First-principles (PBE-GGA) data for a relaxed AcLaNiRu crystal, as listed in Alexandria via LeMat-Bulk.

Unit cell a=5.122 b=5.122 c=5.122 alpha=60.00 beta=60.00 gamma=60.00
Fractional positions:
Ru (0.750, 0.750, 0.750)
Ac (0.500, 0.500, 0.500)
Ni (0.250, 0.250, 0.250)
La (0.000, 0.000, 0.000)

Computed properties:
* ΔH_f (0 K): -0.100 eV per atom
* total DFT energy (no corrections): -6.12 eV per atom
* theoretical density: 9.19 g/cm3
* magnetic moment: 0.00 Bohr magnetons per cell
* space group: F-43m, No. 216
* N(E_F): 4.62 states/eV per cell
* polymorph energy (0 for the lowest one): 0.124 eV per atom

3.
First-principles (PBE-GGA) data for a relaxed AcLaNiRu crystal, as listed in Alexandria via LeMat-Bulk.

Unit cell a=4.080 b=4.144 c=6.173 alpha=90.00 beta=109.30 gamma=90.00
Fractional positions:
Ac (0.142, 0.000, 0.285)
La (0.866, 0.500, 0.731)
Ni (0.565, 0.500, 0.130)
Ru (0.427, 0.000, 0.854)

Computed properties:
* ΔH_f (0 K): -0.224 eV per atom
* total DFT energy (no corrections): -6.25 eV per atom
* theoretical density: 8.86 g/cm3
* magnetic moment: 0.00 Bohr magnetons per cell
* space group: Amm2, No. 38
* N(E_F): 2.93 states/eV per cell
* polymorph energy (0 for the lowest one): 0.000 eV per atom

4.
First-principles (PBE-GGA) data for a relaxed AcLa2Ni2Sn2 crystal, as listed in Alexandria via LeMat-Bulk.

Unit cell a=4.633 b=4.633 c=10.077 alpha=76.71 beta=76.71 gamma=60.00
Fractional positions:
Ac (0.000, 0.000, 0.000)
La (0.137, 0.137, 0.589)
La (0.863, 0.863, 0.411)
Ni (0.576, 0.576, 0.271)
Ni (0.424, 0.424, 0.729)
Sn (0.741, 0.741, 0.777)
Sn (0.259, 0.259, 0.223)

Computed properties:
* ΔH_f (0 K): -0.505 eV per atom
* total DFT energy (no corrections): -5.30 eV per atom
* theoretical density: 7.90 g/cm3
* magnetic moment: 0.00 Bohr magnetons per cell
* space group: R-3m, No. 166
* N(E_F): 5.48 states/eV per cell